# SbMo3Se

A geometry-optimized SbMo3Se structure (PBE, Alexandria via LeMat-Bulk).

Calculated values
* formation energy without anion corrections: 2051 meV per atom
* V: 120.1 Å³/f.u.
* final energy: -29.844 eV/cell
* ρ: 6.752 g/cm³
* total magnetic moment: 0.0 μB per cell
* density of states at the Fermi level: 1.11 states/eV per atom
* symmetry: No. 221

abc: 4.934 4.934 4.934
angles: 90.00 90.00 90.00
Positions (direct):
1 Sb 0.000 0.000 0.000
2 Mo 0.000 0.000 0.500
3 Mo 0.000 0.500 0.000
4 Mo 0.500 0.000 0.000
5 Se 0.500 0.500 0.500

=====

# SbMo2Se

A geometry-optimized SbMo2Se structure (PBE, Alexandria via LeMat-Bulk).

Calculated values
* formation energy without anion corrections: 178 meV per atom
* V: 74.2 Å³/f.u.
* final energy: -57.110 eV/cell
* ρ: 8.788 g/cm³
* total magnetic moment: 0.0 μB per cell
* density of states at the Fermi level: 1.08 states/eV per atom
* symmetry: No. 44

abc: 3.427 3.459 12.515
angles: 90.00 90.00 90.00
Positions (direct):
1 Sb 0.000 0.000 0.000
2 Sb 0.500 0.500 0.500
3 Mo 0.000 0.000 0.400
4 Mo 0.000 0.500 0.675
5 Mo 0.500 0.000 0.175
6 Mo 0.500 0.500 0.900
7 Se 0.000 0.500 0.249
8 Se 0.500 0.000 0.749

=====

# SbMo2Se

A geometry-optimized SbMo2Se structure (PBE, Alexandria via LeMat-Bulk).

Calculated values
* formation energy without anion corrections: 61 meV per atom
* V: 87.7 Å³/f.u.
* final energy: -87.079 eV/cell
* ρ: 7.438 g/cm³
* total magnetic moment: 0.0 μB per cell
* density of states at the Fermi level: 0.85 states/eV per atom
* symmetry: No. 160

abc: 3.163 3.163 30.343
angles: 90.00 90.00 120.00
Positions (direct):
1 Sb 0.000 0.000 0.000
2 Sb 0.333 0.667 0.667
3 Sb 0.667 0.333 0.333
4 Mo 0.000 0.000 0.262
5 Mo 0.000 0.000 0.527
6 Mo 0.333 0.667 0.193
7 Mo 0.333 0.667 0.929
8 Mo 0.667 0.333 0.595
9 Mo 0.667 0.333 0.860
10 Se 0.000 0.000 0.802
11 Se 0.333 0.667 0.469
12 Se 0.667 0.333 0.136

=====

# TlSbMo2Se

A geometry-optimized TlSbMo2Se structure (PBE, Alexandria via LeMat-Bulk).

Calculated values
* formation energy without anion corrections: 2062 meV per atom
* V: 157.7 Å³/f.u.
* final energy: -21.324 eV/cell
* ρ: 6.288 g/cm³
* total magnetic moment: 7.2 μB per cell
* density of states at the Fermi level: 0.94 states/eV per atom
* symmetry: No. 123

abc: 5.367 5.367 5.473
angles: 90.00 90.00 90.00
Positions (direct):
1 Tl 0.000 0.000 0.000
2 Sb 0.000 0.000 0.500
3 Mo 0.000 0.500 0.000
4 Mo 0.500 0.000 0.000
5 Se 0.500 0.500 0.500

=====

# TlSbMo2Se

A geometry-optimized TlSbMo2Se structure (PBE, Alexandria via LeMat-Bulk).

Calculated values
* formation energy without anion corrections: 1930 meV per atom
* V: 146.4 Å³/f.u.
* final energy: -21.983 eV/cell
* ρ: 6.771 g/cm³
* total magnetic moment: 5.9 μB per cell
* density of states at the Fermi level: 0.81 states/eV per atom
* symmetry: No. 123

abc: 5.333 5.333 5.149
angles: 90.00 90.00 90.00
Positions (direct):
1 Tl 0.000 0.000 0.000
2 Sb 0.500 0.500 0.500
3 Mo 0.000 0.500 0.000
4 Mo 0.500 0.000 0.000
5 Se 0.000 0.000 0.500

=====

# SiSbMo

A geometry-optimized SiSbMo structure (PBE, Alexandria via LeMat-Bulk).

Calculated values
* formation energy without anion corrections: 395 meV per atom
* V: 56.5 Å³/f.u.
* final energy: -76.763 eV/cell
* ρ: 7.224 g/cm³
* total magnetic moment: 0.0 μB per cell
* density of states at the Fermi level: 0.53 states/eV per atom
* symmetry: No. 42

abc: 3.540 4.790 13.328
angles: 90.00 90.00 90.00
Positions (direct):
1 Si 0.000 0.000 0.000
2 Si 0.000 0.500 0.500
3 Si 0.500 0.000 0.500
4 Si 0.500 0.500 0.000
5 Sb 0.000 0.000 0.302
6 Sb 0.000 0.500 0.802
7 Sb 0.500 0.000 0.802
8 Sb 0.500 0.500 0.302
9 Mo 0.000 0.000 0.632
10 Mo 0.000 0.500 0.132
11 Mo 0.500 0.000 0.132
12 Mo 0.500 0.500 0.632